BeZnBr2: relaxed, GGA-PBE.

The structure in extended XYZ format:
```
4
Lattice="3.259 0.000 0.000 0.000 3.259 0.000 0.000 0.000 8.389" Properties=species:S:1:pos:R:3 pbc="T T T"
Be 0.000 0.000 0.000
Zn 1.630 1.630 6.255
Br 0.000 0.000 4.663
Br 1.630 1.630 1.209
```

Results
Density of states at the Fermi level: 1.68 states/eV/f.u.
Energy above the lowest structure with this stoichiometry: 578 meV per atom
Formation energy (no corrections): 21.3 kJ per mole of atoms
Space-group type: No. 99



BaZrAs2S8: relaxed, GGA-PBE.

The structure in extended XYZ format:
```
12
Lattice="6.221 0.000 0.000 -3.111 5.388 0.000 0.000 0.000 8.996" Properties=species:S:1:pos:R:3 pbc="T T T"
Ba 0.000 0.000 0.000
Zr 0.000 0.000 4.498
As 0.000 3.592 6.671
As 3.111 1.796 2.324
S -2.030 3.651 2.935
S 0.964 1.805 2.935
S 0.000 3.592 8.803
S 2.045 0.068 6.061
S 1.066 5.320 2.935
S 3.111 1.796 0.192
S 2.147 3.583 6.061
S 5.140 1.737 6.061
```

Results
Formation energy (no corrections): -65.0 kJ per mole of atoms
Space-group type: No. 147



Th4ReGeTe2: relaxed, GGA-PBE.

The structure in extended XYZ format:
```
8
Lattice="7.573 0.000 0.000 0.000 4.269 0.000 -2.394 0.000 7.501" Properties=species:S:1:pos:R:3 pbc="T T T"
Th 1.179 0.000 1.530
Th -0.029 2.135 5.926
Th 5.209 2.135 1.575
Th 4.000 0.000 5.972
Re 0.000 2.135 0.000
Ge 3.787 0.000 0.000
Te -1.197 0.000 3.751
Te 2.590 2.135 3.751
```

Results
Density of states at the Fermi level: 6.79 states/eV/f.u.
Formation energy (no corrections): -73.1 kJ per mole of atoms
Space-group type: No. 10



RePtCl2: relaxed, GGA-PBE.

The structure in extended XYZ format:
```
4
Lattice="2.993 0.000 0.000 0.000 2.993 0.000 0.000 0.000 8.447" Properties=species:S:1:pos:R:3 pbc="T T T"
Re 0.000 0.000 0.000
Pt 1.497 1.497 6.822
Cl 0.000 0.000 5.036
Cl 1.497 1.497 1.646
```

Results
Density of states at the Fermi level: 1.90 states/eV/f.u.
Energy above the lowest structure with this stoichiometry: 193 meV per atom
Formation energy (no corrections): 20.5 kJ per mole of atoms
Space-group type: No. 99



NaV2CoN: relaxed, GGA-PBE.

The structure in extended XYZ format:
```
5
Lattice="4.445 0.000 0.000 0.000 4.445 0.000 0.000 0.000 4.070" Properties=species:S:1:pos:R:3 pbc="T T T"
Na 0.000 0.000 0.000
V 0.000 2.222 0.000
V 2.222 0.000 0.000
Co 0.000 0.000 2.035
N 2.222 2.222 2.035
```

Results
Density of states at the Fermi level: 9.91 states/eV/f.u.
Formation energy (no corrections): 303.2 kJ per mole of atoms
Space-group type: No. 123



CeHo2N3: relaxed, GGA-PBE.

The structure in extended XYZ format:
```
6
Lattice="-1.745 2.462 5.233 1.745 -2.462 5.233 1.745 2.462 -5.233" Properties=species:S:1:pos:R:3 pbc="T T T"
Ce 0.000 0.000 0.000
Ho 0.000 0.000 3.481
Ho 0.000 0.000 6.984
N 1.745 0.000 1.748
N 0.000 2.462 0.000
N 0.000 2.462 3.485
```

Results
Density of states at the Fermi level: 2.70 states/eV/f.u.
Formation energy (no corrections): -159.5 kJ per mole of atoms
Space-group type: No. 71



K4Pt3: relaxed, GGA-PBE.

The structure in extended XYZ format:
```
7
Lattice="5.768 0.000 0.000 -2.884 4.995 0.000 0.000 0.000 6.080" Properties=species:S:1:pos:R:3 pbc="T T T"
K 0.000 0.000 1.439
K 0.000 0.000 4.641
K 0.000 3.330 3.040
K 2.884 1.665 3.040
Pt -1.442 2.498 0.000
Pt 2.884 0.000 0.000
Pt 1.442 2.498 0.000
```

Results
Density of states at the Fermi level: 2.53 states/eV/f.u.
Space-group type: No. 191



TeRhPb2: relaxed, GGA-PBE.

The structure in extended XYZ format:
```
4
Lattice="-2.265 2.265 4.864 2.265 -2.265 4.864 2.265 2.265 -4.864" Properties=species:S:1:pos:R:3 pbc="T T T"
Te 0.000 0.000 0.000
Rh 0.000 0.000 4.864
Pb 2.265 0.000 2.432
Pb 0.000 2.265 2.432
```

Results
Density of states at the Fermi level: 2.69 states/eV/f.u.
Formation energy (no corrections): 19.1 kJ per mole of atoms
Space-group type: No. 139



Number 1: raw total energy -1.865 eV per atom. Number 2: raw total energy -5.073 eV per atom. Number 3: raw total energy -7.386 eV per atom. Number 4: raw total energy -5.333 eV per atom. Number 5: raw total energy -3.855 eV per atom. Number 6: raw total energy -8.331 eV per atom. Number 7: raw total energy -3.162 eV per atom. Number 8: raw total energy -4.279 eV per atom.